1.
A plane-wave DFT calculation with PBE was carried out for crystalline CeDy2HgC at its relaxed geometry.

Cell lengths 4.933, 4.933, 4.875 Å; angles 90.00, 90.00, 90.00 degrees
Space group P4/mmm (No. 123)
One atom of each set of equivalent atoms:
Ce 0.000 0.000 0.000 [1 per cell]
Dy 0.000 0.500 0.500 [2 per cell]
Hg 0.500 0.500 0.000 [1 per cell]
C 0.000 0.000 0.500 [1 per cell]

Values from the calculation:
The formation energy is -0.33 eV per atom. For the density of states at the Fermi level, the calculation gives 5.98 states/eV per cell. The value obtained for the total energy is -26.3 eV/cell.

***

2.
A plane-wave DFT calculation with PBE was carried out for crystalline Ce2DyC2I2 at its relaxed geometry.

Cell lengths 4.555, 4.555, 18.992 Å; angles 90.00, 90.00, 90.00 degrees
Space group I4/mmm (No. 139)
One atom of each set of equivalent atoms:
Ce 0.000 0.000 0.076 [4 per cell]
Dy 0.000 0.000 0.500 [2 per cell]
C 0.000 0.500 0.000 [4 per cell]
I 0.000 0.000 0.333 [4 per cell]

Values from the calculation:
Its uncorrected formation energy is -48.5 kJ/mol of atoms. For the density of states at the Fermi level, the calculation gives 15.67 states/eV per cell. The value obtained for the total energy is -83.1 eV/cell.

***

3.
A plane-wave DFT calculation with PBE was carried out for crystalline Ce2DyInC at its relaxed geometry.

Cell lengths 4.957, 4.957, 4.992 Å; angles 90.00, 90.00, 90.00 degrees
Space group P4/mmm (No. 123)
One atom of each set of equivalent atoms:
Ce 0.000 0.500 0.000 [2 per cell]
Dy 0.000 0.000 0.500 [1 per cell]
In 0.500 0.500 0.500 [1 per cell]
C 0.000 0.000 0.000 [1 per cell]

Values from the calculation:
The formation energy is -0.36 eV per atom. For the density of states at the Fermi level, the calculation gives 8.60 states/eV per cell. The value obtained for the total energy is -30.2 eV/cell.

***

4.
A plane-wave DFT calculation with PBE was carried out for crystalline CeDy3Pb2C at its relaxed geometry.

Cell lengths 4.825, 4.885, 16.173 Å; angles 90.00, 90.00, 90.00 degrees
Space group Immm (No. 71)
One atom of each set of equivalent atoms:
Ce 0.000 0.000 0.000 [2 per cell]
Dy 0.000 0.000 0.500 [2 per cell]
Dy 0.000 0.500 0.341 [4 per cell]
Pb 0.000 0.500 0.143 [4 per cell]
C 0.000 0.500 0.500 [2 per cell]

Values from the calculation:
The formation energy is -0.45 eV per atom. For the density of states at the Fermi level, the calculation gives 12.87 states/eV per cell. The value obtained for the total energy is -79.0 eV/cell.

***

Number 4 is which compound?
CeDy3Pb2C